Entry 1:
# Pm2Zn6Pd

A relaxed Pm2Zn6Pd crystal (PBE-GGA, Alexandria via LeMat-Bulk).

Summary:
* symmetry: P-3m1, No. 164
* E_tot: -2.878 eV/atom
* total magnetic moment: 0.0 μB/f.u.

Cell lengths 5.916, 5.916, 5.621 Å; angles 90.00, 90.00, 120.00 degrees
Fractional positions:
Pm 0.333 0.667 0.170
Pm 0.667 0.333 0.830
Zn 0.179 0.357 0.670
Zn 0.179 0.821 0.670
Zn 0.357 0.179 0.330
Zn 0.643 0.821 0.670
Zn 0.821 0.179 0.330
Zn 0.821 0.643 0.330
Pd 0.000 0.000 0.000

Entry 2:
# Ca2SiI2

A relaxed Ca2SiI2 crystal (PBE-GGA, Alexandria via LeMat-Bulk).

Summary:
* symmetry: I4/mmm, No. 139
* total magnetic moment: 0.0 μB/f.u.
* formation energy without anion corrections: -427 meV/atom

Cell lengths 6.344, 6.344, 6.344 Å; angles 123.19, 123.19, 84.56 degrees
Fractional positions:
Ca 0.250 0.750 0.500
Ca 0.750 0.250 0.500
Si 0.000 0.000 0.000
I 0.320 0.320 0.000
I 0.680 0.680 0.000

Entry 3:
# SbTe2W

A relaxed SbTe2W crystal (PBE-GGA, Alexandria via LeMat-Bulk).

Summary:
* symmetry: Amm2, No. 38
* total magnetic moment: 0.0 μB/f.u.
* formation energy without anion corrections: 317 meV/atom

Cell lengths 3.560, 8.225, 8.225 Å; angles 26.47, 90.00, 90.00 degrees
Fractional positions:
Sb 0.000 0.000 0.000
Te 0.000 0.694 0.694
Te 0.500 0.383 0.383
W 0.500 0.566 0.566

Entry 4:
# TlInS

A relaxed TlInS crystal (PBE-GGA, Alexandria via LeMat-Bulk).

Summary:
* symmetry: P3m1, No. 156
* ΔE to the lowest computed polymorph: 11 meV per atom
* total magnetic moment: 0.0 μB/f.u.
* formation energy without anion corrections: -315 meV/atom

Cell lengths 4.125, 4.125, 5.958 Å; angles 90.00, 90.00, 120.00 degrees
Fractional positions:
Tl 0.000 0.000 0.000
In 0.333 0.667 0.568
S 0.667 0.333 0.329

Entry 5:
# Dy2HgPt9

A relaxed Dy2HgPt9 crystal (PBE-GGA, Alexandria via LeMat-Bulk).

Summary:
* symmetry: P4/mmm, No. 123
* E_tot: -5.996 eV/atom
* total magnetic moment: 0.0 μB/f.u.

Cell lengths 4.103, 4.103, 12.323 Å; angles 90.00, 90.00, 90.00 degrees
Fractional positions:
Dy 0.000 0.000 0.168
Dy 0.000 0.000 0.832
Hg 0.000 0.000 0.500
Pt 0.000 0.500 0.000
Pt 0.000 0.500 0.334
Pt 0.000 0.500 0.666
Pt 0.500 0.000 0.000
Pt 0.500 0.000 0.334
Pt 0.500 0.000 0.666
Pt 0.500 0.500 0.167
Pt 0.500 0.500 0.500
Pt 0.500 0.500 0.833

Entry 6:
# PrNdP

A relaxed PrNdP crystal (PBE-GGA, Alexandria via LeMat-Bulk).

Summary:
* symmetry: F-43m, No. 216
* E_tot: -5.851 eV/atom
* total magnetic moment: 0.0 μB/f.u.

Cell lengths 4.904, 4.904, 4.904 Å; angles 60.00, 60.00, 60.00 degrees
Fractional positions:
Pr 0.000 0.000 0.000
Nd 0.500 0.500 0.500
P 0.250 0.250 0.250

Entry 7:
# PmDy3Ho6

A relaxed PmDy3Ho6 crystal (PBE-GGA, Alexandria via LeMat-Bulk).

Summary:
* symmetry: Cmc2_1, No. 36
* ΔE to the lowest computed polymorph: 0 meV per atom
* total magnetic moment: 0.0 μB/f.u.

Cell lengths 10.926, 10.926, 6.167 Å; angles 90.00, 90.00, 119.61 degrees
Fractional positions:
Pm 0.207 0.793 0.500
Pm 0.793 0.207 0.000
Dy 0.064 0.282 0.307
Dy 0.282 0.064 0.807
Dy 0.390 0.610 0.419
Dy 0.610 0.390 0.919
Dy 0.718 0.936 0.307
Dy 0.936 0.718 0.807
Ho 0.039 0.460 0.714
Ho 0.047 0.953 0.265
Ho 0.284 0.716 0.990
Ho 0.289 0.382 0.880
Ho 0.382 0.289 0.380
Ho 0.460 0.039 0.214
Ho 0.540 0.961 0.714
Ho 0.618 0.711 0.880
Ho 0.711 0.618 0.380
Ho 0.716 0.284 0.490
Ho 0.953 0.047 0.765
Ho 0.961 0.540 0.214

Entry 8:
# TbBi2Pb

A relaxed TbBi2Pb crystal (PBE-GGA, Alexandria via LeMat-Bulk).

Summary:
* symmetry: P4/mmm, No. 123
* ΔE to the lowest computed polymorph: 0 meV per atom
* total magnetic moment: 0.0 μB/f.u.

Cell lengths 4.244, 4.244, 6.795 Å; angles 90.00, 90.00, 90.00 degrees
Fractional positions:
Tb 0.000 0.000 0.000
Bi 0.500 0.500 0.234
Bi 0.500 0.500 0.766
Pb 0.000 0.000 0.500

Entry 9:
# Y2AlCo

A relaxed Y2AlCo crystal (PBE-GGA, Alexandria via LeMat-Bulk).

Summary:
* symmetry: R3m, No. 160
* E_tot: -6.165 eV/atom
* total magnetic moment: 0.5 μB/f.u.

Cell lengths 6.634, 6.634, 6.634 Å; angles 37.18, 37.18, 37.18 degrees
Fractional positions:
Y 0.000 0.000 0.000
Y 0.183 0.183 0.183
Al 0.760 0.760 0.760
Co 0.423 0.423 0.423

Entry 10:
# CsNb2S2

A relaxed CsNb2S2 crystal (PBE-GGA, Alexandria via LeMat-Bulk).

Summary:
* symmetry: I4/mmm, No. 139
* total magnetic moment: 0.4 μB/f.u.
* formation energy without anion corrections: -254 meV/atom

Cell lengths 5.674, 5.674, 5.674 Å; angles 127.65, 127.65, 77.19 degrees
Fractional positions:
Cs 0.000 0.000 0.000
Nb 0.365 0.365 0.000
Nb 0.635 0.635 0.000
S 0.250 0.750 0.500
S 0.750 0.250 0.500

Entry 11:
# AlCr3

A relaxed AlCr3 crystal (PBE-GGA, Alexandria via LeMat-Bulk).

Summary:
* symmetry: Pm-3m, No. 221
* E_tot: -6.339 eV/atom
* total magnetic moment: 13.1 μB/f.u.

Cell lengths 4.997, 4.997, 4.997 Å; angles 90.00, 90.00, 90.00 degrees
Fractional positions:
Al 0.000 0.000 0.000
Cr 0.000 0.000 0.500
Cr 0.000 0.500 0.000
Cr 0.500 0.000 0.000

Entry 12:
# KMg2Zn2

A relaxed KMg2Zn2 crystal (PBE-GGA, Alexandria via LeMat-Bulk).

Summary:
* symmetry: P4/mbm, No. 127
* ΔE to the lowest computed polymorph: 0 meV per atom
* total magnetic moment: 0.0 μB/f.u.

Cell lengths 8.769, 8.769, 2.989 Å; angles 90.00, 90.00, 90.00 degrees
Fractional positions:
K 0.000 0.000 0.000
K 0.500 0.500 0.000
Mg 0.128 0.372 0.000
Mg 0.372 0.872 0.000
Mg 0.628 0.128 0.000
Mg 0.872 0.628 0.000
Zn 0.163 0.663 0.500
Zn 0.337 0.163 0.500
Zn 0.663 0.837 0.500
Zn 0.837 0.337 0.500